## K2CrAsS4 (PBE-GGA)

Data for an optimized crystal structure of K2CrAsS4.

**Size of the total moment**: 3.000 μB per formula unit
**Final energy**: -4.77 eV/atom
**Formation energy from raw total energies**: -653 meV/atom

a = 7.911 Å, b = 7.911 Å, c = 7.911 Å
α = 120.92°, β = 119.13°, γ = 89.96°
Sites, in units of the cell vectors:
K (0.000, 0.000, 0.000)
K (0.500, 0.000, 0.000)
K (0.500, 0.000, 0.500)
K (0.500, 0.500, 0.500)
Cr (0.000, 0.000, 0.500)
Cr (0.000, 0.500, 0.000)
As (0.000, 0.500, 0.500)
As (0.500, 0.500, 0.000)
S (0.184, 0.735, 0.448)
S (0.213, 0.265, 0.948)
S (0.222, 0.252, 0.530)
S (0.222, 0.691, 0.970)
S (0.778, 0.309, 0.030)
S (0.778, 0.748, 0.470)
S (0.787, 0.735, 0.052)
S (0.816, 0.265, 0.552)